Record 1
# BaTl2W

A relaxed structure of BaTl2W (GGA-PBE, Alexandria via LeMat-Bulk).

E_form = 304.9 kJ/mol of formula units
Excess energy over the best structure of this formula in the dataset = 0.149 eV per atom
Final energy = -4.112 eV/atom
SG = No. 166
V = 102.6 Å³/cell

a b c (Å): 11.041 11.041 11.041
angles (deg): 17.19 17.19 17.19
Element x y z (fractional)
Ba (0.750, 0.750, 0.750)
Tl (0.989, 0.989, 0.989)
W (0.250, 0.250, 0.250)
Tl (0.511, 0.511, 0.511)

***

Record 2
# BaTl2W

A relaxed structure of BaTl2W (GGA-PBE, Alexandria via LeMat-Bulk).

E_form = 327.3 kJ/mol of formula units
Excess energy over the best structure of this formula in the dataset = 0.207 eV per atom
Final energy = -4.054 eV/atom
SG = No. 99
V = 108.2 Å³/cell

a b c (Å): 3.209 3.209 10.504
angles (deg): 90.00 90.00 90.00
Element x y z (fractional)
Ba (0.500, 0.500, 0.723)
Tl (0.500, 0.500, 0.276)
Tl (0.000, 0.000, 0.026)
W (0.000, 0.000, 0.476)

***

Record 3
# BaTl2W

A relaxed structure of BaTl2W (GGA-PBE, Alexandria via LeMat-Bulk).

E_form = 387.0 kJ/mol of formula units
Excess energy over the best structure of this formula in the dataset = 0.362 eV per atom
Final energy = -3.899 eV/atom
SG = No. 65
V = 107.1 Å³/cell

a b c (Å): 5.958 5.958 3.214
angles (deg): 90.00 90.00 110.11
Each line ends with the local moment (μB).
Element x y z (fractional)
Ba (0.000, 0.500, 0.500)  0.02
Tl (0.000, 0.000, 0.000)  0.00
W (0.500, 0.000, 0.500)  0.94
Tl (0.500, 0.500, 0.000)  0.00

***

Record 4
# BaTlW2

A relaxed structure of BaTlW2 (GGA-PBE, Alexandria via LeMat-Bulk).

E_form = 471.8 kJ/mol of formula units
Excess energy over the best structure of this formula in the dataset = 0.626 eV per atom
Final energy = -6.326 eV/atom
SG = No. 47
V = 104.9 Å³/cell

a b c (Å): 3.452 4.158 7.309
angles (deg): 90.00 90.00 90.00
Element x y z (fractional)
W (0.000, 0.000, 0.593)
Ba (0.500, 0.500, 0.250)
Tl (0.500, 0.500, 0.750)
W (0.000, 0.000, 0.907)

***

The lowest V belongs to which entry?
number 1